Rb3NpSn2O9 | GGA-PBE | relaxed

Results
Total moment in μB per formula unit: 0.031
Formation energy without anion corrections in eV/atom: -1.889
N(E_F) in states/eV/f.u.: 2.76
Volume in A^3/atom: 14.90

Unit cell a=5.954 b=5.954 c=7.279 alpha=90.00 beta=90.00 gamma=120.00
Sites, in units of the cell vectors:
1 Rb 0.000 0.000 0.000
2 Rb 0.333 0.667 0.673
3 Rb 0.667 0.333 0.327
4 Np 0.000 0.000 0.500
5 Sn 0.333 0.667 0.150
6 Sn 0.667 0.333 0.850
7 O 0.000 0.500 0.000
8 O 0.163 0.326 0.340
9 O 0.163 0.837 0.340
10 O 0.326 0.163 0.660
11 O 0.500 0.000 0.000
12 O 0.500 0.500 0.000
13 O 0.674 0.837 0.340
14 O 0.837 0.163 0.660
15 O 0.837 0.674 0.660

K2NaBr | GGA-PBE | relaxed

Results
Total moment in μB per formula unit: 0.000
Energy above the most stable polymorph in this dataset in eV per atom: 0.121
Formation energy without anion corrections in eV/atom: -0.672
N(E_F) in states/eV/f.u.: 1.09
Volume in A^3/atom: 42.18

Unit cell a=6.136 b=6.136 c=4.481 alpha=90.00 beta=90.00 gamma=90.00
Sites, in units of the cell vectors:
1 K 0.000 0.500 0.000
2 K 0.500 0.000 0.000
3 Na 0.000 0.000 0.500
4 Br 0.500 0.500 0.500

ScCo2Se | GGA-PBE | relaxed

Results
Total moment in μB per formula unit: 2.771
Formation energy without anion corrections in eV/atom: -0.229
N(E_F) in states/eV/f.u.: 4.60
Volume in A^3/atom: 15.69

Unit cell a=3.355 b=3.355 c=5.575 alpha=90.00 beta=90.00 gamma=90.00
Sites, in units of the cell vectors:
1 Sc 0.000 0.000 0.000
2 Co 0.000 0.000 0.557
3 Co 0.500 0.500 0.691
4 Se 0.500 0.500 0.239